A relaxed structure of CaSbS2Br, computed with PBE-GGA.

Results
* SG: P2_1/m, No. 11
* electronic total energy: -43.23 eV for the cell shown
* M_tot: 0.0000 μB per atom
* mass density: 3.392 g/cm3

Unit cell a=5.2546 b=6.7661 c=8.7266 alpha=105.15 beta=90.00 gamma=90.00
Closest atoms and distances in Å follow each position.
Element x y z (fractional)
Br1 0.2500 0.0575 0.8215  1 Ca 2.83
Br2 0.7500 0.9425 0.1785  1 Ca 2.83
Ca1 0.2500 0.6904 0.9204  4 S 2.83-3.03, 1 Br 2.83
Ca2 0.7500 0.3096 0.0796  4 S 2.83-3.03, 1 Br 2.83
Sb1 0.7500 0.3158 0.5791  4 S 2.45-2.73
Sb2 0.2500 0.6842 0.4209  4 S 2.45-2.73
S1 0.7500 0.5390 0.8496  1 Sb 2.45
S2 0.7500 0.5735 0.4192  3 Sb 2.50-2.73
S3 0.2500 0.4265 0.5808  3 Sb 2.50-2.73
S4 0.2500 0.4610 0.1504  1 Sb 2.45